# AlSi2Cl meta-GGA SCAN single point on PBEsol structure
data_AlSi2Cl
_chemical_formula_sum 'Al1 Si2 Cl1'
_space_group_name_H-M_alt 'P 4/m m m'
_space_group_IT_number 123
_space_group_name_Hall '-P 4 2'
_cell_length_a 3.574
_cell_length_b 3.574
_cell_length_c 5.562
_cell_angle_alpha 90.00
_cell_angle_beta 90.00
_cell_angle_gamma 90.00
loop_
_atom_site_label
_atom_site_fract_x
_atom_site_fract_y
_atom_site_fract_z
_atom_site_occupancy
Al1 0.000 0.000 0.000 1
Si1 0.000 0.500 0.500 1
Cl1 0.500 0.500 0.000 1
# Calculated volume, Å³/cell: 71.0
# Formation energy from raw total energies, eV per atom: 0.49
# DOS(E_F), states/eV per cell: 2.29
# Polymorph energy (0 for the lowest one), eV per atom: 0.249